[1]
The following is a DFT calculation (PBE) of a geometry-optimized LaPmAu4 structure.

Final energy: -27.5 eV/cell
Magnetic moment: 0.0 μB/cell
E_form: -0.79 eV per atom

Lattice parameters (Å, degrees): 3.8713 5.3892 7.7476 70.32 75.94 69.47
Space group P-1 (No. 2)
Symmetry-distinct sites (fractional):
1 La 0.0000 0.0000 0.0000 [1 per cell]
2 Pm 0.0000 0.5000 0.5000 [1 per cell]
3 Au 0.3358 0.9948 0.3387 [2 per cell]
4 Au 0.3409 0.5043 0.8239 [2 per cell]

---

[2]
The following is a DFT calculation (PBE) of a geometry-optimized Ca9Mg2Ni structure.

Final energy: -41.5 eV/cell
Magnetic moment: 0.2 μB/cell
E_form: 0.52 eV per atom

Lattice parameters (Å, degrees): 11.6696 6.7401 12.7802 90.00 107.66 90.00
Space group C2/m (No. 12)
Symmetry-distinct sites (fractional):
1 Ca 0.0000 0.0000 0.0000 [2 per cell]
2 Ca 0.0898 0.0000 0.7634 [4 per cell]
3 Ca 0.1631 0.2531 0.2363 [8 per cell]
4 Ca 0.1667 0.0000 0.4997 [4 per cell]
5 Mg 0.1541 0.5000 0.9624 [4 per cell]
6 Ni 0.0000 0.5000 0.5000 [2 per cell]

---

[3]
The following is a DFT calculation (PBE) of a geometry-optimized MnAgMoPd2 structure.

Final energy: -26.5 eV/cell
Magnetic moment: 4.3 μB/cell
E_form: 1.35 eV per atom

Lattice parameters (Å, degrees): 4.7513 4.7513 5.0833 90.00 90.00 90.00
Space group P4/mmm (No. 123)
Symmetry-distinct sites (fractional):
1 Mn 0.0000 0.0000 0.0000 [1 per cell]
2 Ag 0.5000 0.5000 0.0000 [1 per cell]
3 Mo 0.5000 0.5000 0.5000 [1 per cell]
4 Pd 0.0000 0.5000 0.5000 [2 per cell]

---

[4]
The following is a DFT calculation (PBE) of a geometry-optimized LiPmSmPd structure.

Final energy: -71.7 eV/cell
Magnetic moment: 0.0 μB/cell
E_form: -0.34 eV per atom

Lattice parameters (Å, degrees): 7.2780 7.2780 7.2780 90.00 90.00 90.00
Space group F-43m (No. 216)
Symmetry-distinct sites (fractional):
1 Li 0.0000 0.0000 0.0000 [4 per cell]
2 Pm 0.2500 0.2500 0.2500 [4 per cell]
3 Sm 0.2500 0.2500 0.7500 [4 per cell]
4 Pd 0.0000 0.0000 0.5000 [4 per cell]

---

[5]
The following is a DFT calculation (PBE) of a geometry-optimized InNiAs2Br structure.

Raw formation energy: 5.6 eV per formula unit
Final energy: -13.9 eV/cell
Magnetic moment: 2.1 μB/cell
E above lowest polymorph: 983 meV per atom

Lattice parameters (Å, degrees): 5.2283 5.2283 5.4713 90.00 90.00 90.00
Space group P4/mmm (No. 123)
Symmetry-distinct sites (fractional):
1 In 0.0000 0.0000 0.0000 [1 per cell]
2 Ni 0.5000 0.5000 0.5000 [1 per cell]
3 As 0.0000 0.5000 0.0000 [2 per cell]
4 Br 0.0000 0.0000 0.5000 [1 per cell]

---

[6]
The following is a DFT calculation (PBE) of a geometry-optimized Si2SeBr structure.

Raw formation energy: 1.6 eV per formula unit
Final energy: -57.6 eV/cell
Magnetic moment: 0.0 μB/cell
E above lowest polymorph: 473 meV per atom

Lattice parameters (Å, degrees): 7.3849 7.3849 6.8432 90.00 90.00 90.00
Space group I-42d (No. 122)
Symmetry-distinct sites (fractional):
1 Si 0.2206 0.2500 0.1250 [8 per cell]
2 Se 0.0000 0.0000 0.0000 [4 per cell]
3 Br 0.0000 0.0000 0.5000 [4 per cell]

---

[7]
The following is a DFT calculation (PBE) of a geometry-optimized K2NiRh structure.

Final energy: -23.4 eV/cell
Magnetic moment: 2.5 μB/cell
E_form: 0.91 eV per atom
E above lowest polymorph: 523 meV per atom

Lattice parameters (Å, degrees): 5.0565 5.0565 7.1438 90.00 90.00 90.00
Space group I-4m2 (No. 119)
Symmetry-distinct sites (fractional):
1 K 0.0000 0.0000 0.0000 [2 per cell]
2 K 0.0000 0.5000 0.2500 [2 per cell]
3 Ni 0.0000 0.5000 0.7500 [2 per cell]
4 Rh 0.0000 0.0000 0.5000 [2 per cell]

---

[8]
The following is a DFT calculation (PBE) of a geometry-optimized K2InSb structure.

Raw formation energy: -0.7 eV per formula unit
Final energy: -39.1 eV/cell
Magnetic moment: 0.0 μB/cell
E above lowest polymorph: 150 meV per atom

Lattice parameters (Å, degrees): 11.8244 7.1205 9.0749 90.00 112.22 90.00
Space group P2_1/c (No. 14)
Symmetry-distinct sites (fractional):
1 K 0.1329 0.2483 0.0694 [4 per cell]
2 K 0.2868 0.7500 0.3946 [4 per cell]
3 In 0.3792 0.2501 0.4408 [4 per cell]
4 Sb 0.4972 0.5103 0.7486 [4 per cell]